# 1
Entry from Alexandria via LeMat-Bulk: an optimized crystal structure of MnOs2Ru (PBE).

Cell lengths 2.7901, 4.5646, 8.9375 Å; angles 90.00, 90.00, 90.00 degrees
With the nearest neighbours (Å) after each atom.
Space group Cmmm (No. 65)
Symmetry-distinct sites (fractional):
Mn1 0.0000 0.0000 0.0000  4 Os 2.57, 6 Mn 2.67-2.79
Os1 0.0000 0.5000 0.2417  2 Mn 2.57, 6 Os 2.67-2.79, 2 Ru 2.70
Ru1 0.0000 0.0000 0.5000  6 Ru 2.67-2.79, 4 Os 2.70

Computed properties:
excess energy over the best structure of this formula in the dataset = 0.390 eV/atom

# 2
Entry from Alexandria via LeMat-Bulk: an optimized crystal structure of MnOs2Ru (PBE).

Cell lengths 4.4769, 4.4769, 2.8225 Å; angles 90.00, 90.00, 90.00 degrees
With the nearest neighbours (Å) after each atom.
Space group P4/mmm (No. 123)
Symmetry-distinct sites (fractional):
Mn1 0.0000 0.0000 0.0000  8 Os 2.65, 2 Mn 2.82
Os1 0.0000 0.5000 0.5000  4 Mn 2.65, 4 Ru 2.65, 2 Os 2.82
Ru1 0.5000 0.5000 0.0000  8 Os 2.65, 2 Ru 2.82

Computed properties:
excess energy over the best structure of this formula in the dataset = 0.352 eV/atom

# 3
Entry from Alexandria via LeMat-Bulk: an optimized crystal structure of Mn2OsRu (PBE).

Cell lengths 8.5738, 2.6484, 4.6067 Å; angles 90.00, 100.26, 90.00 degrees
With the nearest neighbours (Å) after each atom.
Space group C2/m (No. 12)
Symmetry-distinct sites (fractional):
Mn1 0.2501 0.0000 0.2501  3 Os 2.61, 3 Ru 2.61, 6 Mn 2.65-2.66
Os1 0.0000 0.0000 0.5000  6 Mn 2.61, 2 Os 2.65, 4 Ru 2.66
Ru1 0.0000 0.5000 0.0000  6 Mn 2.61, 2 Ru 2.65, 4 Os 2.66

# 4
Entry from Alexandria via LeMat-Bulk: an optimized crystal structure of Mn2OsRu (PBE).

Cell lengths 2.7708, 4.4609, 8.6635 Å; angles 90.00, 90.00, 90.00 degrees
With the nearest neighbours (Å) after each atom.
Space group Cmm2 (No. 35)
Symmetry-distinct sites (fractional):
Mn1 0.0000 0.0000 0.0000  6 Mn 2.47-2.63, 2 Ru 2.52
Mn2 0.0000 0.5000 0.2365  6 Mn 2.47-2.63, 2 Os 2.53
Os1 0.0000 0.0000 0.4805  2 Mn 2.53, 6 Os 2.63-2.77, 2 Ru 2.77
Ru1 0.0000 0.5000 0.7568  2 Mn 2.52, 6 Ru 2.63-2.77, 2 Os 2.77

Number 1: energy of formation from the pure elements 456 meV/atom. Number 2: energy of formation from the pure elements 418 meV/atom. Number 3: energy of formation from the pure elements 125 meV/atom. Number 4: energy of formation from the pure elements 386 meV/atom.